Entry 1
# CuPbI3, relaxed, DFT PBE
# **Calculated density**: 5.24 g/cm³
# **Magnetic moment**: 0.000 μB/cell
# **Crystal system**: monoclinic
data_CuPbI3
_chemical_formula_sum 'Cu4 Pb4 I12'
_space_group_name_H-M_alt 'P 1 21/c 1'
_space_group_IT_number 14
_space_group_name_Hall '-P 2ybc'
_cell_length_a 8.171
_cell_length_b 8.954
_cell_length_c 13.298
_cell_angle_alpha 90.00
_cell_angle_beta 121.89
_cell_angle_gamma 90.00
loop_
_atom_site_label
_atom_site_type_symbol
_atom_site_fract_x
_atom_site_fract_y
_atom_site_fract_z
Cu1 Cu 0.030 0.014 0.106
Pb1 Pb 0.401 0.249 0.010
I1 I 0.012 0.746 0.018
I2 I 0.229 0.522 0.331
I3 I 0.377 0.045 0.309

---

Entry 2
# CuPbI3, relaxed, DFT PBE
# **Calculated density**: 5.17 g/cm³
# **Magnetic moment**: 0.000 μB/cell
# **Crystal system**: orthorhombic
data_CuPbI3
_chemical_formula_sum 'Cu4 Pb4 I12'
_space_group_name_H-M_alt 'A m a 2'
_space_group_IT_number 40
_space_group_name_Hall 'A 2 -2a'
_cell_length_a 4.490
_cell_length_b 25.649
_cell_length_c 7.274
_cell_angle_alpha 90.00
_cell_angle_beta 90.00
_cell_angle_gamma 90.00
loop_
_atom_site_label
_atom_site_type_symbol
_atom_site_fract_x
_atom_site_fract_y
_atom_site_fract_z
Cu1 Cu 0.250 0.116 0.000
Pb1 Pb 0.250 0.335 0.090
I1 I 0.250 0.104 0.360
I2 I 0.250 0.215 0.878
I3 I 0.250 0.426 0.378

---

Tell me which of them is the most stable. Sure, it is entry 2.

---

Entry 1
# CuPbI3, relaxed, DFT PBE
# **Calculated density**: 6.61 g/cm³
# **Magnetic moment**: 0.000 μB/cell
# **Crystal system**: cubic
data_CuPbI3
_chemical_formula_sum 'Cu1 Pb1 I3'
_space_group_name_H-M_alt 'P m -3 m'
_space_group_IT_number 221
_space_group_name_Hall '-P 4 2 3'
_cell_length_a 5.471
_cell_length_b 5.471
_cell_length_c 5.471
_cell_angle_alpha 90.00
_cell_angle_beta 90.00
_cell_angle_gamma 90.00
loop_
_atom_site_label
_atom_site_type_symbol
_atom_site_fract_x
_atom_site_fract_y
_atom_site_fract_z
Cu1 Cu 0.000 0.000 0.000
Pb1 Pb 0.500 0.500 0.500
I1 I 0.000 0.000 0.500

---

Entry 2
# CuPbI3, relaxed, DFT PBE
# **Calculated density**: 4.59 g/cm³
# **Magnetic moment**: 0.000 μB/cell
# **Crystal system**: cubic
data_CuPbI3
_chemical_formula_sum 'Cu1 Pb1 I3'
_space_group_name_H-M_alt 'P m -3 m'
_space_group_IT_number 221
_space_group_name_Hall '-P 4 2 3'
_cell_length_a 6.175
_cell_length_b 6.175
_cell_length_c 6.175
_cell_angle_alpha 90.00
_cell_angle_beta 90.00
_cell_angle_gamma 90.00
loop_
_atom_site_label
_atom_site_type_symbol
_atom_site_fract_x
_atom_site_fract_y
_atom_site_fract_z
Cu1 Cu 0.000 0.000 0.000
Pb1 Pb 0.500 0.500 0.500
I1 I 0.000 0.500 0.500

---

Tell me which of them is the most stable. Sure, it is entry 1.

---

Entry 1
# CuSbPbI2, relaxed, DFT PBE
# **Calculated density**: 4.55 g/cm³
# **Magnetic moment**: 1.650 μB/cell
# **Crystal system**: tetragonal
data_CuSbPbI2
_chemical_formula_sum 'Cu1 Sb1 Pb1 I2'
_space_group_name_H-M_alt 'P 4/m m m'
_space_group_IT_number 123
_space_group_name_Hall '-P 4 2'
_cell_length_a 6.205
_cell_length_b 6.205
_cell_length_c 6.122
_cell_angle_alpha 90.00
_cell_angle_beta 90.00
_cell_angle_gamma 90.00
loop_
_atom_site_label
_atom_site_type_symbol
_atom_site_fract_x
_atom_site_fract_y
_atom_site_fract_z
Cu1 Cu 0.000 0.000 0.000
Sb1 Sb 0.500 0.500 0.000
Pb1 Pb 0.500 0.500 0.500
I1 I 0.000 0.500 0.500

---

Entry 2
# CuSbPbI2, relaxed, DFT PBE
# **Calculated density**: 6.97 g/cm³
# **Magnetic moment**: 0.000 μB/cell
# **Crystal system**: tetragonal
data_CuSbPbI2
_chemical_formula_sum 'Cu1 Sb1 Pb1 I2'
_space_group_name_H-M_alt 'P 4/m m m'
_space_group_IT_number 123
_space_group_name_Hall '-P 4 2'
_cell_length_a 5.409
_cell_length_b 5.409
_cell_length_c 5.265
_cell_angle_alpha 90.00
_cell_angle_beta 90.00
_cell_angle_gamma 90.00
loop_
_atom_site_label
_atom_site_type_symbol
_atom_site_fract_x
_atom_site_fract_y
_atom_site_fract_z
Cu1 Cu 0.000 0.000 0.000
Sb1 Sb 0.000 0.000 0.500
Pb1 Pb 0.500 0.500 0.500
I1 I 0.000 0.500 0.000

---

Tell me which of them is the most stable. Sure, it is entry 2.

---

Entry 1
# CuPdI2, relaxed, DFT PBE
# **Calculated density**: 6.15 g/cm³
# **Magnetic moment**: 0.000 μB/cell
# **Crystal system**: tetragonal
data_CuPdI2
_chemical_formula_sum 'Cu1 Pd1 I2'
_space_group_name_H-M_alt 'P -4 m 2'
_space_group_IT_number 115
_space_group_name_Hall 'P -4 -2'
_cell_length_a 4.079
_cell_length_b 4.079
_cell_length_c 6.880
_cell_angle_alpha 90.00
_cell_angle_beta 90.00
_cell_angle_gamma 90.00
loop_
_atom_site_label
_atom_site_type_symbol
_atom_site_fract_x
_atom_site_fract_y
_atom_site_fract_z
Cu1 Cu 0.000 0.000 0.000
Pd1 Pd 0.500 0.500 0.000
I1 I 0.000 0.500 0.263

---

Entry 2
# CuPdI2, relaxed, DFT PBE
# **Calculated density**: 7.51 g/cm³
# **Magnetic moment**: 0.000 μB/cell
# **Crystal system**: cubic
data_CuPdI2
_chemical_formula_sum 'Cu4 Pd4 I8'
_space_group_name_H-M_alt 'F m -3 m'
_space_group_IT_number 225
_space_group_name_Hall '-F 4 2 3'
_cell_length_a 7.211
_cell_length_b 7.211
_cell_length_c 7.211
_cell_angle_alpha 90.00
_cell_angle_beta 90.00
_cell_angle_gamma 90.00
loop_
_atom_site_label
_atom_site_type_symbol
_atom_site_fract_x
_atom_site_fract_y
_atom_site_fract_z
Cu1 Cu 0.000 0.000 0.000
Pd1 Pd 0.000 0.000 0.500
I1 I 0.250 0.250 0.250

---

Tell me which of them is the most stable. Sure, it is entry 1.

---

Entry 1
# CuPdI3, relaxed, DFT PBE
# **Calculated density**: 5.49 g/cm³
# **Magnetic moment**: 0.000 μB/cell
# **Crystal system**: cubic
data_CuPdI3
_chemical_formula_sum 'Cu1 Pd1 I3'
_space_group_name_H-M_alt 'P m -3 m'
_space_group_IT_number 221
_space_group_name_Hall '-P 4 2 3'
_cell_length_a 5.503
_cell_length_b 5.503
_cell_length_c 5.503
_cell_angle_alpha 90.00
_cell_angle_beta 90.00
_cell_angle_gamma 90.00
loop_
_atom_site_label
_atom_site_type_symbol
_atom_site_fract_x
_atom_site_fract_y
_atom_site_fract_z
Cu1 Cu 0.000 0.000 0.000
Pd1 Pd 0.500 0.500 0.500
I1 I 0.000 0.500 0.500

---

Entry 2
# CuPdI3, relaxed, DFT PBE
# **Calculated density**: 6.00 g/cm³
# **Magnetic moment**: 0.000 μB/cell
# **Crystal system**: triclinic
data_CuPdI3
_chemical_formula_sum 'Cu1 Pd1 I3'
_space_group_name_H-M_alt 'P 1'
_space_group_IT_number 1
_space_group_name_Hall 'P 1'
_cell_length_a 4.377
_cell_length_b 5.668
_cell_length_c 6.857
_cell_angle_alpha 113.98
_cell_angle_beta 99.85
_cell_angle_gamma 91.13
loop_
_atom_site_label
_atom_site_type_symbol
_atom_site_fract_x
_atom_site_fract_y
_atom_site_fract_z
Cu1 Cu 0.000 0.000 0.000
Pd1 Pd 0.721 0.072 0.630
I1 I 0.122 0.926 0.353
I2 I 0.498 0.264 0.004
I3 I 0.787 0.581 0.651

---

Tell me which of them is the most stable. Sure, it is entry 2.

---

Entry 1
# CuSbPdI2, relaxed, DFT PBE
# **Calculated density**: 5.67 g/cm³
# **Magnetic moment**: 0.000 μB/cell
# **Crystal system**: tetragonal
data_CuSbPdI2
_chemical_formula_sum 'Cu1 Sb1 Pd1 I2'
_space_group_name_H-M_alt 'P 4/m m m'
_space_group_IT_number 123
_space_group_name_Hall '-P 4 2'
_cell_length_a 5.572
_cell_length_b 5.572
_cell_length_c 5.149
_cell_angle_alpha 90.00
_cell_angle_beta 90.00
_cell_angle_gamma 90.00
loop_
_atom_site_label
_atom_site_type_symbol
_atom_site_fract_x
_atom_site_fract_y
_atom_site_fract_z
Cu1 Cu 0.000 0.000 0.000
Sb1 Sb 0.500 0.500 0.000
Pd1 Pd 0.500 0.500 0.500
I1 I 0.000 0.500 0.500

---

Entry 2
# CuSbPdI2, relaxed, DFT PBE
# **Calculated density**: 4.88 g/cm³
# **Magnetic moment**: 0.000 μB/cell
# **Crystal system**: tetragonal
data_CuSbPdI2
_chemical_formula_sum 'Cu1 Sb1 Pd1 I2'
_space_group_name_H-M_alt 'P 4/m m m'
_space_group_IT_number 123
_space_group_name_Hall '-P 4 2'
_cell_length_a 6.099
_cell_length_b 6.099
_cell_length_c 4.994
_cell_angle_alpha 90.00
_cell_angle_beta 90.00
_cell_angle_gamma 90.00
loop_
_atom_site_label
_atom_site_type_symbol
_atom_site_fract_x
_atom_site_fract_y
_atom_site_fract_z
Cu1 Cu 0.000 0.000 0.000
Sb1 Sb 0.500 0.500 0.500
Pd1 Pd 0.500 0.500 0.000
I1 I 0.000 0.500 0.500

---

Tell me which of them is the most stable. Sure, it is entry 1.